(1)
A plane-wave DFT calculation with PBEsol was carried out for a geometry-optimized ReBi3S structure.

Calculated values
total energy: -5.3538 eV per atom
M_tot: 0.0 μB per formula unit
crystal system: cubic

Cell: 5.2174 5.2174 5.2174 Å, 90.00 90.00 90.00°
Fractional positions:
Re1 0.0000 0.0000 0.0000
S1 0.5000 0.5000 0.5000
Bi1 0.0000 0.5000 0.0000
Bi2 0.0000 0.0000 0.5000
Bi3 0.5000 0.0000 0.0000

(2)
A plane-wave DFT calculation with PBEsol was carried out for a geometry-optimized ReBiSb3 structure.

Calculated values
total energy: -4.0582 eV per atom
M_tot: 3.6 μB per formula unit
crystal system: cubic

Cell: 5.6503 5.6503 5.6503 Å, 90.00 90.00 90.00°
Fractional positions:
Re1 0.5000 0.5000 0.5000
Bi1 0.0000 0.0000 0.0000
Sb1 0.0000 0.5000 0.0000
Sb2 0.0000 0.0000 0.5000
Sb3 0.5000 0.0000 0.0000

(3)
A plane-wave DFT calculation with PBEsol was carried out for a geometry-optimized YReBi2Sb structure.

Calculated values
total energy: -5.5692 eV per atom
M_tot: 0.0 μB per formula unit
crystal system: tetragonal

Cell: 4.8339 5.6771 5.6771 Å, 90.00 90.00 90.00°
Fractional positions:
Y1 0.5000 0.5000 0.5000
Re1 0.5000 0.0000 0.0000
Bi1 0.0000 0.0000 0.5000
Bi2 0.0000 0.5000 0.0000
Sb1 0.0000 0.0000 0.0000

(4)
A plane-wave DFT calculation with PBEsol was carried out for a geometry-optimized ScReBi3 structure.

Calculated values
total energy: -5.7205 eV per atom
M_tot: 0.0 μB per formula unit
crystal system: cubic
DFT formation energy: 838 meV/atom

Cell: 5.2935 5.2935 5.2935 Å, 90.00 90.00 90.00°
Fractional positions:
Sc1 0.5000 0.5000 0.5000
Re1 0.0000 0.0000 0.0000
Bi1 0.0000 0.5000 0.0000
Bi2 0.0000 0.0000 0.5000
Bi3 0.5000 0.0000 0.0000

(5)
A plane-wave DFT calculation with PBEsol was carried out for a geometry-optimized ScReBi2 structure.

Calculated values
total energy: -6.8846 eV per atom
M_tot: 0.0 μB per formula unit
crystal system: cubic
DFT formation energy: 242 meV/atom

Cell: 4.8951 4.8951 4.8951 Å, 60.00 60.00 60.00°
Fractional positions:
Sc1 0.0000 0.0000 0.0000
Re1 0.5000 0.5000 0.5000
Bi1 0.2500 0.2500 0.2500
Bi2 0.7500 0.7500 0.7500

(6)
A plane-wave DFT calculation with PBEsol was carried out for a geometry-optimized Re2Bi2Se structure.

Calculated values
total energy: -7.3379 eV per atom
M_tot: 0.0 μB per formula unit
crystal system: tetragonal

Cell: 3.6001 3.6001 8.9614 Å, 101.59 101.59 90.00°
Fractional positions:
Re1 0.2500 0.7500 0.5000
Re2 0.7500 0.2500 0.5000
Bi1 0.3894 0.3894 0.7788
Bi2 0.6106 0.6106 0.2212
Se1 0.0000 0.0000 0.0000

(7)
A plane-wave DFT calculation with PBEsol was carried out for a geometry-optimized Re2SnBi structure.

Calculated values
total energy: -7.9409 eV per atom
M_tot: 0.0 μB per formula unit
crystal system: cubic
DFT formation energy: 861 meV/atom

Cell: 4.6578 4.6578 4.6578 Å, 60.00 60.00 60.00°
Fractional positions:
Re1 0.2500 0.2500 0.2500
Re2 0.7500 0.7500 0.7500
Bi1 0.5000 0.5000 0.5000
Sn1 0.0000 0.0000 0.0000

(8)
A plane-wave DFT calculation with PBEsol was carried out for a geometry-optimized ReSn3Bi structure.

Calculated values
total energy: -3.9909 eV per atom
M_tot: 4.0 μB per formula unit
crystal system: cubic
DFT formation energy: 2088 meV/atom

Cell: 5.6284 5.6284 5.6284 Å, 90.00 90.00 90.00°
Fractional positions:
Re1 0.5000 0.5000 0.5000
Bi1 0.0000 0.0000 0.0000
Sn1 0.0000 0.5000 0.0000
Sn2 0.0000 0.0000 0.5000
Sn3 0.5000 0.0000 0.0000

(9)
A plane-wave DFT calculation with PBEsol was carried out for a geometry-optimized Re3SnBi structure.

Calculated values
total energy: -6.6353 eV per atom
M_tot: 3.3 μB per formula unit
crystal system: cubic
DFT formation energy: 3073 meV/atom

Cell: 4.9548 4.9548 4.9548 Å, 90.00 90.00 90.00°
Fractional positions:
Re1 0.0000 0.5000 0.0000
Re2 0.0000 0.0000 0.5000
Re3 0.5000 0.0000 0.0000
Bi1 0.0000 0.0000 0.0000
Sn1 0.5000 0.5000 0.5000

(10)
A plane-wave DFT calculation with PBEsol was carried out for a geometry-optimized TaRe3Bi structure.

Calculated values
total energy: -9.1370 eV per atom
M_tot: 2.0 μB per formula unit
crystal system: cubic
DFT formation energy: 2230 meV/atom

Cell: 4.7870 4.7870 4.7870 Å, 90.00 90.00 90.00°
Fractional positions:
Re1 0.0000 0.5000 0.0000
Re2 0.0000 0.0000 0.5000
Re3 0.5000 0.0000 0.0000
Bi1 0.5000 0.5000 0.5000
Ta1 0.0000 0.0000 0.0000

(11)
A plane-wave DFT calculation with PBEsol was carried out for a geometry-optimized TaReBiW2 structure.

Calculated values
total energy: -9.3277 eV per atom
M_tot: 0.0 μB per formula unit
crystal system: tetragonal
DFT formation energy: 2229 meV/atom

Cell: 4.7986 4.8145 4.8145 Å, 90.00 90.00 90.00°
Fractional positions:
Re1 0.5000 0.0000 0.0000
Bi1 0.5000 0.5000 0.5000
W1 0.0000 0.0000 0.5000
W2 0.0000 0.5000 0.0000
Ta1 0.0000 0.0000 0.0000

(12)
A plane-wave DFT calculation with PBEsol was carried out for a geometry-optimized ReTcBi3 structure.

Calculated values
total energy: -5.8507 eV per atom
M_tot: 2.6 μB per formula unit
crystal system: cubic
DFT formation energy: 1640 meV/atom

Cell: 5.2337 5.2337 5.2337 Å, 90.00 90.00 90.00°
Fractional positions:
Re1 0.0000 0.0000 0.0000
Bi1 0.0000 0.5000 0.0000
Bi2 0.0000 0.0000 0.5000
Bi3 0.5000 0.0000 0.0000
Tc1 0.5000 0.5000 0.5000

Q: Among the records above, which one has the highest M_tot?
A: ReSn3Bi